{
  "formula": "BeVB2",
  "functional": "GGA-PBE",
  "state": "relaxed",
  "cell": [[2.937, 0.000, 0.000], [0.000, 5.622, 0.000], [0.000, 0.000, 7.617]],
  "species": ["Be", "Be", "Be", "Be", "B", "B", "B", "B", "B", "B", "B", "B", "V", "V", "V", "V"],
  "frac_coords": [[0.750, 0.008, 0.610], [0.750, 0.508, 0.890], [0.250, 0.992, 0.390], [0.250, 0.492, 0.110], [0.750, 0.254, 0.071], [0.250, 0.246, 0.571], [0.750, 0.839, 0.833], [0.250, 0.661, 0.333], [0.250, 0.746, 0.929], [0.250, 0.161, 0.167], [0.750, 0.754, 0.429], [0.750, 0.339, 0.667], [0.750, 0.858, 0.140], [0.250, 0.142, 0.860], [0.750, 0.358, 0.360], [0.250, 0.642, 0.640]],
  "formation_energy_ev_per_atom": -0.50,
  "crystal_system": "orthorhombic",
  "dos_ef_per_ev_cell": 4.8
}